VASP calculation (GGA-PBE) on a relaxed Cs3Bi4Sb2 crystal.

```
data_Cs3Bi4Sb2
_cell_length_a 5.343
_cell_length_b 7.850
_cell_length_c 10.837
_cell_angle_alpha 81.65
_cell_angle_beta 89.85
_cell_angle_gamma 70.12
_space_group_name_H-M_alt 'P -1'
_space_group_IT_number 2
loop_
_space_group_symop_operation_xyz
'x,y,z'
'-x,-y,-z'
loop_
_atom_site_label
_atom_site_type_symbol
_atom_site_fract_x
_atom_site_fract_y
_atom_site_fract_z
Cs1 Cs 0.000 0.000 0.000
Cs2 Cs 0.355 0.289 0.638
Bi1 Bi 0.066 0.870 0.637
Bi2 Bi 0.303 0.394 0.000
Sb1 Sb 0.340 0.319 0.278
```

Summary:
Its final energy is -3.19 eV/atom.